# KCo4ClO6 (PBE with a Hubbard U, relaxed)
# volume = 207.3 Å³ per cell
# VASP energy = -5.0246 eV per atom
# ρ = 3.25 Mg/m³
data_KCo4ClO6
_cell_length_a 5.8250
_cell_length_b 5.8250
_cell_length_c 7.0558
_cell_angle_alpha 90.00
_cell_angle_beta 90.00
_cell_angle_gamma 120.00
_space_group_name_H-M_alt 'P 6/m m m'
_space_group_IT_number 191
_space_group_name_Hall '-P 6 2'
loop_
_atom_site_label
_atom_site_type_symbol
_atom_site_fract_x
_atom_site_fract_y
_atom_site_fract_z
K1 K 0.0000 0.0000 0.0000
Co1 Co 0.3333 0.6667 0.2720
Cl1 Cl 0.0000 0.0000 0.5000
O1 O 0.0000 0.5000 0.2104